(1)
DFT (PBE-GGA) results for Ca2Nd2Pd3 after structural relaxation.

a = 4.050 Å, b = 7.210 Å, c = 7.362 Å
α = 95.36°, β = 105.95°, γ = 106.44°
Fractional coordinates of all 7 atoms:
Ca1 0.689 0.761 0.617
Ca2 0.311 0.239 0.383
Nd1 0.596 0.273 0.919
Nd2 0.404 0.727 0.081
Pd1 0.000 0.000 0.000
Pd2 0.929 0.549 0.309
Pd3 0.071 0.451 0.691

## Properties
crystal system	triclinic
excess energy over the best structure of this formula in the dataset	4	meV per atom
SG	P-1
formation energy from the elements	-630.4	meV/atom
DOS(E_F)	0.51	states/eV/atom
total magnetic moment	0.0	μB/f.u.

---

(2)
DFT (PBE-GGA) results for CaNd2Pd3 after structural relaxation.

a = 3.577 Å, b = 3.577 Å, c = 10.953 Å
α = 90.00°, β = 90.00°, γ = 90.00°
Fractional coordinates of all 6 atoms:
Ca1 0.500 0.500 0.500
Nd1 0.500 0.500 0.830
Nd2 0.500 0.500 0.170
Pd1 0.000 0.000 0.000
Pd2 0.000 0.000 0.674
Pd3 0.000 0.000 0.326

## Properties
crystal system	tetragonal
excess energy over the best structure of this formula in the dataset	0	meV per atom
SG	P4/mmm
formation energy from the elements	-739.1	meV/atom
DOS(E_F)	0.45	states/eV/atom
total magnetic moment	0.0	μB/f.u.

---

(3)
DFT (PBE-GGA) results for CaNd2Pd after structural relaxation.

a = 4.063 Å, b = 6.551 Å, c = 9.690 Å
α = 90.00°, β = 90.00°, γ = 108.06°
Fractional coordinates of all 8 atoms:
Ca1 0.929 0.858 0.250
Ca2 0.071 0.142 0.750
Nd1 0.359 0.717 0.559
Nd2 0.641 0.283 0.441
Nd3 0.359 0.717 0.941
Nd4 0.641 0.283 0.059
Pd1 0.768 0.535 0.750
Pd2 0.232 0.465 0.250

## Properties
crystal system	monoclinic
excess energy over the best structure of this formula in the dataset	21	meV per atom
SG	P2_1/m
formation energy from the elements	-370.9	meV/atom
DOS(E_F)	1.26	states/eV/atom
total magnetic moment	0.0	μB/f.u.

---

(4)
DFT (PBE-GGA) results for CaNdPd10 after structural relaxation.

a = 4.487 Å, b = 5.347 Å, c = 9.266 Å
α = 90.00°, β = 90.00°, γ = 90.00°
Fractional coordinates of all 12 atoms:
Ca1 0.000 0.500 0.500
Nd1 0.000 0.000 0.000
Pd1 0.000 0.000 0.333
Pd2 0.000 0.500 0.834
Pd3 0.000 0.500 0.166
Pd4 0.000 0.000 0.667
Pd5 0.500 0.000 0.500
Pd6 0.500 0.500 0.000
Pd7 0.500 0.249 0.249
Pd8 0.500 0.751 0.751
Pd9 0.500 0.751 0.249
Pd10 0.500 0.249 0.751

## Properties
crystal system	orthorhombic
SG	Pmmm
formation energy from the elements	-441.4	meV/atom
DOS(E_F)	1.08	states/eV/atom
total magnetic moment	0.0	μB/f.u.

---

(5)
DFT (PBE-GGA) results for CaNdSiPd after structural relaxation.

a = 5.084 Å, b = 5.084 Å, c = 5.084 Å
α = 60.00°, β = 60.00°, γ = 60.00°
Fractional coordinates of all 4 atoms:
Ca1 0.500 0.500 0.500
Nd1 0.000 0.000 0.000
Si1 0.750 0.750 0.750
Pd1 0.250 0.250 0.250

## Properties
crystal system	cubic
SG	F-43m
DOS(E_F)	0.58	states/eV/atom
formation energy (no corrections)	-0.591	eV/atom
total magnetic moment	0.0	μB/f.u.

---

(6)
DFT (PBE-GGA) results for CaNdSi2Pd2 after structural relaxation.

a = 4.171 Å, b = 4.171 Å, c = 8.564 Å
α = 90.00°, β = 90.00°, γ = 120.00°
Fractional coordinates of all 6 atoms:
Ca1 0.000 0.000 0.500
Nd1 0.000 0.000 0.000
Si1 0.333 0.667 0.241
Si2 0.667 0.333 0.759
Pd1 0.333 0.667 0.742
Pd2 0.667 0.333 0.258

## Properties
crystal system	trigonal
SG	P-3m1
DOS(E_F)	0.64	states/eV/atom
formation energy (no corrections)	-0.801	eV/atom
total magnetic moment	0.0	μB/f.u.

---

(7)
DFT (PBE-GGA) results for CaNd2Sn3Pd4 after structural relaxation.

a = 4.592 Å, b = 4.592 Å, c = 11.143 Å
α = 90.00°, β = 90.00°, γ = 90.00°
Fractional coordinates of all 10 atoms:
Ca1 0.500 0.500 0.500
Nd1 0.500 0.000 0.220
Nd2 0.000 0.500 0.780
Sn1 0.000 0.000 0.500
Sn2 0.500 0.000 0.875
Sn3 0.000 0.500 0.125
Pd1 0.500 0.500 0.000
Pd2 0.000 0.000 0.000
Pd3 0.500 0.000 0.643
Pd4 0.000 0.500 0.357

## Properties
crystal system	tetragonal
SG	P-4m2
formation energy from the elements	-758.2	meV/atom
DOS(E_F)	0.45	states/eV/atom
total magnetic moment	0.0	μB/f.u.

---

(8)
DFT (PBE-GGA) results for CaNdSnPd after structural relaxation.

a = 5.272 Å, b = 5.272 Å, c = 5.272 Å
α = 60.00°, β = 60.00°, γ = 60.00°
Fractional coordinates of all 4 atoms:
Ca1 0.500 0.500 0.500
Nd1 0.000 0.000 0.000
Sn1 0.250 0.250 0.250
Pd1 0.750 0.750 0.750

## Properties
crystal system	cubic
SG	F-43m
formation energy from the elements	-684.5	meV/atom
DOS(E_F)	0.59	states/eV/atom
total magnetic moment	0.0	μB/f.u.